Entry 1:
This record from Alexandria describes a relaxed structure of La4PmPr6. The functional is PBE.

Computed properties:
VASP energy: -51.63 eV/cell
density of states at the Fermi level: 1.44 states/eV per atom
symmetry: No. 187
offset from the most stable computed form: 0 meV per atom
calculated formation energy: 1.5 eV per formula unit

```
La4PmPr6
1.0
3.6789 0.0000 0.0000
0.0000 11.2604 0.0000
0.0000 -5.6302 9.7518
Pr La Pm
6 4 1
Cartesian
0.0000 5.6302 0.6498
1.8394 2.5152 7.9533
1.8394 0.0000 3.5970
1.8394 -2.5152 7.9533
0.0000 3.3778 4.5510
0.0000 7.8826 4.5510
0.0000 0.0000 6.5012
1.8394 2.6636 1.5378
1.8394 8.5969 1.5378
1.8394 5.6302 6.6762
0.0000 0.0000 0.0000
```

---

Entry 2:
This record from Alexandria describes a relaxed structure of Ta2Cr3Cu. The functional is PBE.

Computed properties:
VASP energy: -113.69 eV/cell
density of states at the Fermi level: 0.93 states/eV per atom
symmetry: No. 194
calculated formation energy: -0.2 eV per formula unit

```
Ta2Cr3Cu
1.0
4.7781 0.0000 0.0000
-2.3891 4.1380 0.0000
0.0000 0.0000 8.3620
Ta Cr Cu
4 6 2
Cartesian
2.3891 1.3793 4.7377
2.3891 1.3793 7.8052
0.0000 2.7586 0.5567
0.0000 2.7586 3.6242
1.1645 3.4310 6.2715
2.3891 2.7239 2.0905
1.2246 0.7070 2.0905
0.0000 1.4140 6.2715
3.5535 0.7070 2.0905
-1.1645 3.4310 6.2715
0.0000 0.0000 0.0000
0.0000 0.0000 4.1810
```

---

Entry 3:
This record from Alexandria describes a relaxed structure of Tb2CeFe. The functional is PBE.

Computed properties:
VASP energy: -23.10 eV/cell
density of states at the Fermi level: 2.18 states/eV per atom
symmetry: No. 123
offset from the most stable computed form: 255 meV per atom
calculated formation energy: 0.6 eV per formula unit

```
Tb2CeFe
1.0
-0.5937 -2.1614 -2.5797
3.2136 -1.1420 0.2172
-2.5702 -6.1411 5.7369
Fe Tb Ce
1 2 1
Cartesian
1.3100 -1.6517 -1.1812
-2.0900 -4.9939 4.6652
-0.4801 -1.1472 1.0717
0.0249 -4.7223 1.6873
```

---

Entry 4:
This record from Alexandria describes a relaxed structure of Li2NiHgN. The functional is PBE.

Computed properties:
VASP energy: -19.78 eV/cell
density of states at the Fermi level: 0.33 states/eV per atom
symmetry: No. 123
E_form (uncorrected): -0.31 eV per atom
offset from the most stable computed form: 0 meV per atom

```
Li2NiHgN
1.0
-4.0040 -1.2529 1.0970
0.6499 -3.8058 -1.9746
1.2452 -1.3471 3.0063
Ni Li Hg N
1 2 1 1
Cartesian
0.6226 -0.6736 1.5031
0.3249 -1.9029 -0.9873
-2.0020 -0.6264 0.5485
-1.0545 -3.2029 1.0644
0.0000 0.0000 0.0000
```

---

Entry 5:
This record from Alexandria describes a relaxed structure of Tl2ZnInHg6. The functional is PBE.

Computed properties:
VASP energy: -10.27 eV/cell
density of states at the Fermi level: 0.42 states/eV per atom
symmetry: No. 2
calculated formation energy: 0.3 eV per formula unit

```
Tl2ZnInHg6
1.0
-1.2276 8.5805 0.2497
1.3627 -0.7151 6.4938
5.1823 4.2415 5.0678
Hg Tl In Zn
6 2 1 1
Cartesian
-0.4103 6.3596 2.1626
0.9960 9.2537 2.2513
3.7950 6.1476 7.0542
4.3214 2.8532 9.5600
1.5224 5.9593 4.7571
5.7277 5.7473 9.6487
2.4794 3.0337 6.8123
2.8379 9.0732 4.9990
0.0000 0.0000 0.0000
0.0675 3.9327 3.3718
```

---

Entry 6:
This record from Alexandria describes a relaxed structure of TmPdAu. The functional is PBE.

Computed properties:
VASP energy: -30.54 eV/cell
density of states at the Fermi level: 0.42 states/eV per atom
symmetry: No. 36
offset from the most stable computed form: 108 meV per atom
calculated formation energy: -2.3 eV per formula unit

```
TmPdAu
1.0
4.3998 -0.1579 0.0000
-1.5861 4.1071 0.0000
0.0000 0.0000 7.0841
Tm Pd Au
2 2 2
Cartesian
1.2674 2.0740 4.6640
1.5464 1.8752 1.1219
-0.4765 3.3165 6.7792
3.2903 0.6327 3.2372
-0.5547 3.3722 2.6399
3.3685 0.5769 6.1819
```

---

Entry 7:
This record from Alexandria describes a relaxed structure of Ca6Hg5Ge. The functional is PBE.

Computed properties:
VASP energy: -24.91 eV/cell
density of states at the Fermi level: 0.46 states/eV per atom
symmetry: No. 10
calculated formation energy: -6.8 eV per formula unit

```
Ca6Hg5Ge
1.0
5.0110 -0.0299 1.6800
0.0413 7.6659 0.0138
0.0109 -0.0150 8.3707
Hg Ca Ge
5 6 1
Cartesian
1.6638 -0.0150 3.3747
3.3581 -0.0300 6.6759
1.6932 3.8179 3.3697
3.3700 3.8030 6.6947
0.0207 3.8329 0.0069
4.2046 1.8796 4.1448
2.5367 5.7779 0.8504
4.2254 5.7264 4.1517
0.8379 1.8945 5.9127
0.8586 5.7413 5.9196
2.5156 1.8580 0.8434
0.0000 0.0000 0.0000
```

---

Entry 8:
This record from Alexandria describes a relaxed structure of TeAsC. The functional is PBE.

Computed properties:
VASP energy: -30.34 eV/cell
density of states at the Fermi level: 0.08 states/eV per atom
symmetry: No. 1
E_form (uncorrected): 0.61 eV per atom
offset from the most stable computed form: 82 meV per atom

```
TeAsC
1.0
-5.3493 -1.5014 -0.1721
3.8018 -4.2073 -1.8305
1.1302 0.5068 6.4333
Te C As
2 2 2
Cartesian
0.6162 -1.2537 2.2173
2.8989 -2.7491 1.4973
-3.3020 -1.8342 5.2464
-2.0814 -1.9783 5.1074
-0.7204 -0.7519 -0.0889
-1.4736 -3.0845 -0.9275
```